# LaErMgIn

An optimized crystal structure of LaErMgIn (PBE, Alexandria).

abc: 5.4348 5.4348 5.4348
angles: 60.00 60.00 60.00
Last column: nearest neighbours and their distance in Å.
Fractional positions:
La 0.2500 0.2500 0.2500  4 In 3.33, 4 Mg 3.33
Mg 0.0000 0.0000 0.0000  4 Er 3.33, 4 La 3.33
Er 0.7500 0.7500 0.7500  4 In 3.33, 4 Mg 3.33
In 0.5000 0.5000 0.5000  4 La 3.33, 4 Er 3.33

Calculated values
ΔH_f (0 K) ... -1.3 eV per formula unit
SG ... F-43m (216)
Calculated volume ... 28.4 A^3/atom

# LaErMnIn

An optimized crystal structure of LaErMnIn (PBE, Alexandria).

abc: 5.3143 5.3143 5.3143
angles: 60.00 60.00 60.00
Last column: nearest neighbours and their distance in Å.
Fractional positions:
La 0.7500 0.7500 0.7500  4 Mn 3.25, 4 In 3.25
Er 0.2500 0.2500 0.2500  4 In 3.25, 4 Mn 3.25
Mn 0.0000 0.0000 0.0000  4 La 3.25, 4 Er 3.25
In 0.5000 0.5000 0.5000  4 Er 3.25, 4 La 3.25

Calculated values
ΔH_f (0 K) ... -0.3 eV per formula unit
SG ... F-43m (216)
Calculated volume ... 26.5 A^3/atom

# La2ErInN

An optimized crystal structure of La2ErInN (PBE, Alexandria).

abc: 4.8023 5.1457 5.1457
angles: 90.00 90.00 90.00
Last column: nearest neighbours and their distance in Å.
Fractional positions:
N 0.0000 0.0000 0.0000  2 Er 2.40, 4 La 2.57
In 0.5000 0.5000 0.5000  8 La 3.52, 4 Er 3.64
La 0.0000 0.5000 0.0000  2 N 2.57
La 0.0000 0.0000 0.5000  2 N 2.57
Er 0.5000 0.0000 0.0000  2 N 2.40

Calculated values
SG ... P4/mmm (123)
Calculated volume ... 25.4 A^3/atom
Uncorrected formation energy ... -0.89 eV per atom